1.
A plane-wave DFT calculation with PBE-GGA was carried out for PrDy5Ho4 after structural relaxation.

a = 7.8586 Å, b = 7.8586 Å, c = 7.8586 Å
α = 99.22°, β = 99.22°, γ = 132.82°
Closest atoms and distances in Å follow each position.
Positions (direct):
Pr 0.0000 0.0000 0.0000  1 Dy 2.87
Dy 0.4568 0.4568 0.0000  1 Pr 2.87
Dy 0.4935 0.8731 0.9114  4 Ho 3.21-3.52, 1 Dy 3.28, 1 Pr 3.29
Dy 0.5821 0.4935 0.6204  4 Ho 3.21-3.52, 1 Dy 3.28, 1 Pr 3.29
Dy 0.8731 0.9617 0.3796  4 Ho 3.21-3.52, 1 Dy 3.28, 1 Pr 3.29
Dy 0.9617 0.5821 0.0887  4 Ho 3.21-3.52, 1 Dy 3.28, 1 Pr 3.29
Ho 0.1816 0.8823 0.6001  4 Dy 3.21-3.52, 1 Ho 3.23
Ho 0.2822 0.5815 0.3999  4 Dy 3.21-3.52, 1 Ho 3.23
Ho 0.5815 0.1816 0.2993  4 Dy 3.21-3.52, 1 Ho 3.23
Ho 0.8823 0.2822 0.7007  4 Dy 3.21-3.52, 1 Ho 3.23

Summary:
**Formation energy**: 0.30 eV/atom
**Relative energy among the computed polymorphs**: 2.40 eV per formula unit
**E**: -43.06 eV/cell

2.
A plane-wave DFT calculation with PBE-GGA was carried out for Pr3CdHg3 after structural relaxation.

a = 7.4360 Å, b = 7.4360 Å, c = 7.5464 Å
α = 90.01°, β = 90.01°, γ = 91.09°
Closest atoms and distances in Å follow each position.
Positions (direct):
Pr 0.0002 0.0002 0.2493  6 Hg 3.34-3.55, 4 Pr 3.71-3.72
Pr 0.9998 0.9998 0.7507  6 Hg 3.34-3.55, 4 Pr 3.71-3.72
Pr 0.0006 0.4997 0.2495  6 Hg 3.21-3.28, 2 Cd 3.36
Pr 0.4997 0.0006 0.2495  6 Hg 3.21-3.28, 2 Cd 3.36
Pr 0.5003 0.9994 0.7505  6 Hg 3.21-3.28, 2 Cd 3.36
Pr 0.9994 0.5003 0.7505  6 Hg 3.21-3.28, 2 Cd 3.36
Cd 0.3319 0.3319 0.9989  2 Hg 3.09, 4 Pr 3.36
Cd 0.6681 0.6681 0.0011  2 Hg 3.09, 4 Pr 3.36
Hg 0.2596 0.7404 0.0000  2 Cd 3.09, 6 Pr 3.21-3.34
Hg 0.2720 0.7280 0.5000  6 Pr 3.22-3.45, 2 Hg 3.28
Hg 0.2880 0.2880 0.5011  2 Hg 3.28, 6 Pr 3.28-3.55
Hg 0.7120 0.7120 0.4989  2 Hg 3.28, 6 Pr 3.28-3.55
Hg 0.7280 0.2720 0.5000  6 Pr 3.22-3.45, 2 Hg 3.28
Hg 0.7404 0.2596 0.0000  2 Cd 3.09, 6 Pr 3.21-3.34

Summary:
**Formation energy**: -0.29 eV/atom
**E**: -36.43 eV/cell

3.
A plane-wave DFT calculation with PBE-GGA was carried out for La2SnSbPd6 after structural relaxation.

a = 5.6163 Å, b = 6.7248 Å, c = 6.8033 Å
α = 74.29°, β = 65.69°, γ = 65.44°
Closest atoms and distances in Å follow each position.
Positions (direct):
La 0.0033 0.2440 0.2495  5 Pd 2.93-3.12
La 0.9967 0.7560 0.7505  5 Pd 2.93-3.12
Sn 0.5000 0.5000 0.0000  6 Pd 2.67-2.72
Sb 0.5000 0.0000 0.5000  6 Pd 2.66-2.76
Pd 0.0018 0.8026 0.1922  1 Sn 2.72, 1 Sb 2.76, 4 Pd 2.79-2.94
Pd 0.3138 0.4375 0.4337  1 Sb 2.66, 1 Sn 2.67, 4 Pd 2.90-2.94, 1 La 2.93
Pd 0.4951 0.1977 0.8080  1 Sn 2.71, 1 Sb 2.75, 4 Pd 2.79-2.94
Pd 0.5049 0.8023 0.1920  1 Sn 2.71, 1 Sb 2.75, 4 Pd 2.79-2.94
Pd 0.6862 0.5625 0.5663  1 Sb 2.66, 1 Sn 2.67, 4 Pd 2.90-2.94, 1 La 2.93
Pd 0.9982 0.1974 0.8078  1 Sn 2.72, 1 Sb 2.76, 4 Pd 2.79-2.94

Summary:
**Formation energy from raw total energies**: -68.0 kJ/mol of atoms
**E**: -56.18 eV/cell

4.
A plane-wave DFT calculation with PBE-GGA was carried out for Pd2RhSe4 after structural relaxation.

a = 7.4687 Å, b = 7.4687 Å, c = 10.5379 Å
α = 90.00°, β = 90.00°, γ = 90.00°
Closest atoms and distances in Å follow each position.
Positions (direct):
Pd 0.0000 0.2512 0.0000  6 Se 2.54-2.55
Pd 0.0000 0.7488 0.5000  6 Se 2.54-2.55
Pd 0.2498 0.2498 0.3750  4 Se 2.48-2.49
Pd 0.2498 0.7502 0.1250  4 Se 2.48-2.49
Pd 0.2512 0.0000 0.7500  6 Se 2.54-2.55
Pd 0.7488 0.0000 0.2500  6 Se 2.54-2.55
Pd 0.7502 0.2498 0.6250  4 Se 2.48-2.49
Pd 0.7502 0.7502 0.8750  4 Se 2.48-2.49
Rh 0.2506 0.5000 0.7500  6 Se 2.50-2.51
Rh 0.5000 0.2506 0.0000  6 Se 2.50-2.51
Rh 0.5000 0.7494 0.5000  6 Se 2.50-2.51
Rh 0.7494 0.5000 0.2500  6 Se 2.50-2.51
Se 0.0234 0.2542 0.7595  3 Pd 2.48-2.55, 1 Rh 2.50
Se 0.0234 0.7458 0.7405  3 Pd 2.48-2.55, 1 Rh 2.50
Se 0.2542 0.0234 0.9905  3 Pd 2.48-2.55, 1 Rh 2.50
Se 0.2543 0.4783 0.9877  2 Pd 2.49-2.55, 2 Rh 2.51
Se 0.2543 0.5217 0.5123  2 Pd 2.49-2.55, 2 Rh 2.51
Se 0.2542 0.9766 0.5095  3 Pd 2.48-2.55, 1 Rh 2.50
Se 0.4783 0.2543 0.7623  2 Pd 2.49-2.55, 2 Rh 2.51
Se 0.4783 0.7457 0.7377  2 Pd 2.49-2.55, 2 Rh 2.51
Se 0.5217 0.2543 0.2377  2 Pd 2.49-2.55, 2 Rh 2.51
Se 0.5217 0.7457 0.2623  2 Pd 2.49-2.55, 2 Rh 2.51
Se 0.7458 0.0234 0.0095  3 Pd 2.48-2.55, 1 Rh 2.50
Se 0.7457 0.4783 0.0123  2 Pd 2.49-2.55, 2 Rh 2.51
Se 0.7457 0.5217 0.4877  2 Pd 2.49-2.55, 2 Rh 2.51
Se 0.7458 0.9766 0.4905  3 Pd 2.48-2.55, 1 Rh 2.50
Se 0.9766 0.2542 0.2405  3 Pd 2.48-2.55, 1 Rh 2.50
Se 0.9766 0.7458 0.2595  3 Pd 2.48-2.55, 1 Rh 2.50

Summary:
**Formation energy from raw total energies**: -34.3 kJ/mol of atoms
**E**: -136.64 eV/cell

5.
A plane-wave DFT calculation with PBE-GGA was carried out for Hf5Ta after structural relaxation.

a = 7.0452 Å, b = 7.0452 Å, c = 4.4136 Å
α = 90.00°, β = 90.00°, γ = 143.59°
Closest atoms and distances in Å follow each position.
Positions (direct):
Hf 0.0000 0.0000 0.0000  8 Hf 3.11, 4 Ta 3.12
Hf 0.1641 0.8359 0.5000  2 Ta 3.11, 10 Hf 3.11-3.18
Hf 0.3357 0.6643 0.0000  10 Hf 3.11-3.18, 2 Ta 3.12
Hf 0.6643 0.3357 0.0000  10 Hf 3.11-3.18, 2 Ta 3.12
Hf 0.8359 0.1641 0.5000  2 Ta 3.11, 10 Hf 3.11-3.18
Ta 0.5000 0.5000 0.5000  12 Hf 3.11-3.12

Summary:
**Formation energy**: 0.13 eV/atom
**E**: -60.85 eV/cell

6.
A plane-wave DFT calculation with PBE-GGA was carried out for NpH8Ir2Pd after structural relaxation.

a = 6.0928 Å, b = 6.0928 Å, c = 6.0928 Å
α = 46.05°, β = 46.05°, γ = 46.05°
Closest atoms and distances in Å follow each position.
Positions (direct):
Np 0.0000 0.0000 0.0000  6 H 2.32
H 0.1196 0.4072 0.8108  1 Ir 1.70, 1 Pd 1.88
H 0.1892 0.8804 0.5928  1 Ir 1.70, 1 Pd 1.88
H 0.3195 0.3195 0.3195  1 Ir 1.65
H 0.4072 0.8108 0.1196  1 Ir 1.70, 1 Pd 1.88
H 0.5928 0.1892 0.8804  1 Ir 1.70, 1 Pd 1.88
H 0.6805 0.6805 0.6805  1 Ir 1.65
H 0.8108 0.1196 0.4072  1 Ir 1.70, 1 Pd 1.88
H 0.8804 0.5928 0.1892  1 Ir 1.70, 1 Pd 1.88
Ir 0.2186 0.2186 0.2186  4 H 1.65-1.70
Ir 0.7814 0.7814 0.7814  4 H 1.65-1.70
Pd 0.5000 0.5000 0.5000  6 H 1.88

Summary:
**E**: -62.49 eV/cell

7.
A plane-wave DFT calculation with PBE-GGA was carried out for LiY4Br after structural relaxation.

a = 6.6316 Å, b = 6.6316 Å, c = 6.6316 Å
α = 60.00°, β = 60.00°, γ = 60.00°
Closest atoms and distances in Å follow each position.
Positions (direct):
Li 0.0000 0.0000 0.0000  12 Y 3.88, 4 Br 4.06
Y 0.1216 0.6261 0.6261  6 Y 3.29-3.35
Y 0.6261 0.1216 0.6261  6 Y 3.29-3.35
Y 0.6261 0.6261 0.1216  6 Y 3.29-3.35
Y 0.6261 0.6261 0.6261  6 Y 3.29-3.35
Br 0.2500 0.2500 0.2500  12 Y 3.89, 4 Li 4.06

Summary:
**Formation energy from raw total energies**: 36.2 kJ/mol of atoms
**E**: -27.19 eV/cell

8.
A plane-wave DFT calculation with PBE-GGA was carried out for AlZnPt2 after structural relaxation.

a = 2.8564 Å, b = 4.5000 Å, c = 4.5679 Å
α = 90.00°, β = 90.00°, γ = 90.00°
Closest atoms and distances in Å follow each position.
Positions (direct):
Al 0.0000 0.0000 0.0000  8 Pt 2.68-2.70, 2 Al 2.86
Zn 0.0000 0.5000 0.4393  8 Pt 2.68-2.70, 2 Zn 2.86
Pt 0.5000 0.0000 0.4986  4 Zn 2.68, 4 Al 2.69-2.70, 2 Pt 2.86
Pt 0.5000 0.5000 0.9402  4 Al 2.68, 4 Zn 2.69-2.70, 2 Pt 2.86

Summary:
**Formation energy**: -0.77 eV/atom
**E**: -20.17 eV/cell

Magnetization values, unit μB per formula unit, following the record order: 0.00; 0.95; 0.00; 0.00; 0.00; 3.98; 0.00; 0.00.